# 1
Zr2TiSbO: optimized geometry, PBE.

a b c (Å): 4.6411 4.6411 3.9997
angles (deg): 90.00 90.00 90.00
Positions (direct):
O  0.0000  0.0000  0.0000
Zr  0.0000  0.5000  0.0000
Zr  0.5000  0.0000  0.0000
Ti  0.0000  0.0000  0.5000
Sb  0.5000  0.5000  0.5000

Summary:
The space group is P4/mmm, No. 123. The calculation puts the uncorrected formation energy at -6.121 eV per formula unit.


# 2
ZrTiSb2O: optimized geometry, PBE.

a b c (Å): 5.0643 3.7846 5.0643
angles (deg): 90.00 90.00 90.00
Positions (direct):
Ti  0.0000  0.5000  0.0000
Zr  0.5000  0.5000  0.5000
Sb  0.5000  0.0000  0.0000
Sb  0.0000  0.0000  0.5000
O  0.0000  0.0000  0.0000

Summary:
The space group is P4/mmm, No. 123. The calculation puts the uncorrected formation energy at -3.882 eV per formula unit.


# 3
TlSbO3: optimized geometry, PBE.

a b c (Å): 8.4143 8.4143 8.4143
angles (deg): 37.47 37.47 37.47
Positions (direct):
Tl  0.3868  0.3868  0.3868
Tl  0.6132  0.6132  0.6132
O  0.9312  0.5481  0.1653
O  0.4519  0.8347  0.0688
O  0.0688  0.4519  0.8347
O  0.5481  0.1653  0.9312
O  0.1653  0.9312  0.5481
O  0.8347  0.0688  0.4519
Sb  0.1666  0.1666  0.1666
Sb  0.8334  0.8334  0.8334

Summary:
The space group is R-3, No. 148. The calculation puts the uncorrected formation energy at -6.484 eV per formula unit.


# 4
TlSbO3: optimized geometry, PBE.

a b c (Å): 6.3658 5.8112 8.3467
angles (deg): 90.00 90.00 90.00
Positions (direct):
O  0.9323  0.6733  0.2500
O  0.5677  0.1733  0.7500
O  0.0677  0.3267  0.7500
O  0.1862  0.8759  0.5697
O  0.4323  0.8267  0.2500
O  0.8138  0.1241  0.4303
O  0.1862  0.8759  0.9303
O  0.6862  0.6241  0.9303
O  0.3138  0.3759  0.4303
O  0.8138  0.1241  0.0697
O  0.3138  0.3759  0.0697
O  0.6862  0.6241  0.5697
Tl  0.5000  0.0000  0.5000
Tl  0.0000  0.5000  0.5000
Tl  0.5000  0.0000  0.0000
Tl  0.0000  0.5000  0.0000
Sb  0.9975  0.9902  0.7500
Sb  0.0025  0.0098  0.2500
Sb  0.5025  0.4902  0.2500
Sb  0.4975  0.5098  0.7500

Summary:
The space group is Pnma, No. 62. The calculation puts the uncorrected formation energy at -4.620 eV per formula unit.


# 5
TlSbO3: optimized geometry, PBE.

a b c (Å): 5.5121 7.0591 7.2189
angles (deg): 127.32 110.36 71.47
Positions (direct):
O  0.4964  0.0409  0.2614
O  0.9139  0.2849  0.2885
O  0.9786  0.8118  0.0212
O  0.3701  0.8129  0.7953
O  0.3054  0.2860  0.0626
O  0.7875  0.0570  0.8224
Tl  0.3238  0.3732  0.7146
Tl  0.9602  0.7247  0.3692
Sb  0.1420  0.0489  0.0419
Sb  0.6420  0.0489  0.0419

Summary:
The space group is P-1, No. 2. The calculation puts the uncorrected formation energy at -5.463 eV per formula unit.


# 6
TlSb2O6: optimized geometry, PBE.

a b c (Å): 2.9185 6.6100 6.6100
angles (deg): 120.00 90.00 90.00
Positions (direct):
O  0.7435  0.8646  0.5757
O  0.7435  0.7111  0.1354
O  0.2565  0.5757  0.7111
O  0.2565  0.2889  0.8646
O  0.2565  0.1354  0.4243
O  0.7435  0.4243  0.2889
Sb  0.2448  0.6667  0.3333
Sb  0.7552  0.3333  0.6667
Tl  0.5000  0.0000  0.0000

Summary:
The space group is P-3, No. 147. The calculation puts the uncorrected formation energy at -8.006 eV per formula unit.


# 7
TlSbO3: optimized geometry, PBE.

a b c (Å): 4.2384 4.2384 4.2384
angles (deg): 90.00 90.00 90.00
Positions (direct):
Sb  0.5000  0.5000  0.5000
O  0.0000  0.5000  0.0000
O  0.5000  0.0000  0.0000
O  0.0000  0.0000  0.5000
Tl  0.0000  0.0000  0.0000

Summary:
The space group is Pm-3m, No. 221. The calculation puts the uncorrected formation energy at -0.239 eV per formula unit.


# 8
Tl2Sb3O9: optimized geometry, PBE.

a b c (Å): 9.5780 9.5780 9.5780
angles (deg): 90.00 90.00 90.00
Positions (direct):
O  0.1650  0.2114  0.4941
O  0.3350  0.7114  0.9941
O  0.7114  0.0059  0.6650
O  0.1650  0.7886  0.5059
O  0.8350  0.2114  0.5059
O  0.5000  0.5000  0.8629
O  0.3629  0.0000  0.0000
O  0.8350  0.7886  0.4941
O  0.8629  0.5000  0.5000
O  0.1371  0.5000  0.5000
O  0.2886  0.0059  0.3350
O  0.0000  0.0000  0.6371
O  0.0059  0.3350  0.2886
O  0.2114  0.4941  0.1650
O  0.4941  0.1650  0.2114
O  0.5059  0.8350  0.2114
O  0.0000  0.0000  0.3629
O  0.7114  0.9941  0.3350
O  0.7886  0.5059  0.1650
O  0.6650  0.2886  0.9941
O  0.5059  0.1650  0.7886
O  0.0059  0.6650  0.7114
O  0.6371  0.0000  0.0000
O  0.5000  0.5000  0.1371
O  0.2886  0.9941  0.6650
O  0.7886  0.4941  0.8350
O  0.5000  0.1371  0.5000
O  0.6650  0.7114  0.0059
O  0.4941  0.8350  0.7886
O  0.0000  0.6371  0.0000
O  0.9941  0.6650  0.2886
O  0.5000  0.8629  0.5000
O  0.3350  0.2886  0.0059
O  0.0000  0.3629  0.0000
O  0.9941  0.3350  0.7114
O  0.2114  0.5059  0.8350
Sb  0.0000  0.5000  0.1630
Sb  0.0000  0.3370  0.5000
Sb  0.3370  0.5000  0.0000
Sb  0.0000  0.6630  0.5000
Sb  0.0000  0.5000  0.8370
Sb  0.5000  0.0000  0.3370
Sb  0.8370  0.0000  0.5000
Sb  0.1630  0.0000  0.5000
Sb  0.6630  0.5000  0.0000
Sb  0.5000  0.0000  0.6630
Sb  0.5000  0.8370  0.0000
Sb  0.5000  0.1630  0.0000
Tl  0.1380  0.1380  0.1380
Tl  0.8620  0.1380  0.8620
Tl  0.6380  0.6380  0.3620
Tl  0.6380  0.3620  0.6380
Tl  0.1380  0.8620  0.8620
Tl  0.3620  0.3620  0.3620
Tl  0.8620  0.8620  0.1380
Tl  0.3620  0.6380  0.6380

Summary:
The space group is Pn-3, No. 201. The calculation puts the uncorrected formation energy at -16.492 eV per formula unit.


# 9
Tl2Sb3O8: optimized geometry, PBE.

a b c (Å): 5.4537 6.5061 7.9613
angles (deg): 114.12 106.83 90.00
Positions (direct):
O  0.6172  0.7048  0.8490
O  0.8939  0.0775  0.1549
O  0.1061  0.9225  0.8451
O  0.3828  0.2952  0.1510
O  0.6172  0.1443  0.8490
O  0.0335  0.4135  0.8270
O  0.9665  0.5865  0.1730
O  0.3828  0.8557  0.1510
Sb  0.0000  0.7386  0.0000
Sb  0.5000  0.0000  0.0000
Sb  0.0000  0.2614  0.0000
Tl  0.6534  0.6990  0.3981
Tl  0.3466  0.3010  0.6019

Summary:
The space group is C2/m, No. 12. The calculation puts the uncorrected formation energy at -15.546 eV per formula unit.


# 10
TlSbO4: optimized geometry, PBE.

a b c (Å): 5.0197 5.7437 6.0187
angles (deg): 110.46 90.00 90.00
Positions (direct):
Sb  0.5000  0.5000  0.0000
Sb  0.0000  0.0000  0.0000
O  0.2142  0.3212  0.1223
O  0.7858  0.6788  0.8777
O  0.3513  0.3772  0.6730
O  0.7142  0.1788  0.8777
O  0.2858  0.8212  0.1223
O  0.6487  0.6228  0.3270
O  0.1487  0.8772  0.6730
O  0.8513  0.1228  0.3270
Tl  0.0000  0.5000  0.5000
Tl  0.5000  0.0000  0.5000

Summary:
The space group is P2_1/c, No. 14. The calculation puts the uncorrected formation energy at -6.556 eV per formula unit.


# 11
TlSb2O6: optimized geometry, PBE.

a b c (Å): 5.2582 5.3982 5.3982
angles (deg): 120.00 90.00 90.00
Positions (direct):
O  0.2894  0.3746  0.3746
O  0.2894  0.6254  0.0000
O  0.7106  0.0000  0.3746
O  0.7106  0.3746  0.0000
O  0.7106  0.6254  0.6254
O  0.2894  0.0000  0.6254
Tl  0.0000  0.0000  0.0000
Sb  0.5000  0.6667  0.3333
Sb  0.5000  0.3333  0.6667

Summary:
The space group is P-31m, No. 162. The calculation puts the uncorrected formation energy at -11.121 eV per formula unit.


# 12
Tl3SbO7: optimized geometry, PBE.

a b c (Å): 6.5427 6.5427 7.5910
angles (deg): 90.00 90.00 110.07
Positions (direct):
Tl  0.9971  0.5238  0.7498
Tl  0.5010  0.5010  0.0000
Tl  0.0029  0.4762  0.2498
Tl  0.4990  0.4990  0.5000
Tl  0.4762  0.0029  0.7502
Tl  0.5238  0.9971  0.2502
O  0.0528  0.9472  0.7500
O  0.3734  0.6266  0.2500
O  0.0712  0.3233  0.5222
O  0.3233  0.0712  0.4778
O  0.6767  0.9288  0.9778
O  0.6266  0.3734  0.7500
O  0.6769  0.9294  0.5224
O  0.9472  0.0528  0.2500
O  0.3599  0.6401  0.7500
O  0.9288  0.6767  0.0222
O  0.6401  0.3599  0.2500
O  0.9294  0.6769  0.4776
O  0.0706  0.3231  0.9776
O  0.3231  0.0706  0.0224
Sb  0.9999  0.9999  0.5000
Sb  0.0001  0.0001  0.0000

Summary:
The space group is C222_1, No. 20. The calculation puts the uncorrected formation energy at -9.910 eV per formula unit.


# 13
Tl3SbO6: optimized geometry, PBE.

a b c (Å): 5.8610 6.2506 6.2506
angles (deg): 57.73 61.02 61.02
Positions (direct):
O  0.1132  0.6836  0.6836
O  0.4106  0.1679  0.6272
O  0.4106  0.6272  0.1679
O  0.5894  0.8321  0.3728
O  0.8868  0.3164  0.3164
O  0.5894  0.3728  0.8321
Sb  0.5000  0.5000  0.5000
Tl  0.0000  0.0000  0.0000
Tl  0.7049  0.7377  0.7377
Tl  0.2951  0.2623  0.2623

Summary:
The space group is C2/m, No. 12. The calculation puts the uncorrected formation energy at -8.546 eV per formula unit.


# 14
Tl4Sb6O19: optimized geometry, PBE.

a b c (Å): 8.2602 8.2602 8.2602
angles (deg): 109.47 109.47 109.47
Last column: magnetic moment on the atom in μB.
Positions (direct):
O  0.6381  0.0000  0.6381  0.02
O  0.6601  0.2803  0.9542  0.03
O  0.3399  0.2941  0.6201  0.03
O  0.6381  0.6381  0.0000  0.02
O  0.9542  0.6601  0.2803  0.03
O  0.6201  0.3399  0.2941  0.03
O  0.7197  0.3799  0.6739  0.03
O  0.3619  0.3619  0.0000  0.02
O  0.3261  0.7059  0.0458  0.03
O  0.3799  0.6739  0.7197  0.03
O  0.7059  0.0458  0.3261  0.03
O  0.0000  0.6381  0.6381  0.02
O  0.0000  0.3619  0.3619  0.02
O  0.6739  0.7197  0.3799  0.03
O  0.0000  0.0000  0.0000  0.42
O  0.0458  0.3261  0.7059  0.03
O  0.2941  0.6201  0.3399  0.03
O  0.3619  0.0000  0.3619  0.02
O  0.2803  0.9542  0.6601  0.03
Tl  0.2896  0.2896  0.2896  0.15
Tl  0.0000  0.0000  0.7104  0.15
Tl  0.7104  0.0000  0.0000  0.15
Tl  0.0000  0.7104  0.0000  0.15
Sb  0.6621  0.5000  0.1621  0.00
Sb  0.1621  0.6621  0.5000  0.00
Sb  0.3379  0.5000  0.8379  0.00
Sb  0.5000  0.8379  0.3379  0.00
Sb  0.8379  0.3379  0.5000  0.00
Sb  0.5000  0.1621  0.6621  0.00

Summary:
The space group is I23, No. 197. The calculation puts the uncorrected formation energy at -33.440 eV per formula unit.


# 15
TlSbO3: optimized geometry, PBE.

a b c (Å): 5.3926 5.3926 17.0264
angles (deg): 90.00 90.00 120.00
Positions (direct):
O  0.9366  0.2728  0.8190
O  0.9366  0.6638  0.6810
O  0.6638  0.7272  0.1810
O  0.7272  0.6638  0.8190
O  0.2728  0.9366  0.1810
O  0.7272  0.0634  0.6810
O  0.0634  0.3362  0.1810
O  0.6638  0.9366  0.3190
O  0.0634  0.7272  0.3190
O  0.3362  0.2728  0.6810
O  0.2728  0.3362  0.3190
O  0.3362  0.0634  0.8190
Tl  0.6667  0.3333  0.5644
Tl  0.3333  0.6667  0.0644
Tl  0.6667  0.3333  0.9356
Tl  0.3333  0.6667  0.4356
Sb  0.6667  0.3333  0.7500
Sb  0.0000  0.0000  0.7500
Sb  0.3333  0.6667  0.2500
Sb  0.0000  0.0000  0.2500

Summary:
The space group is P6_322, No. 182. The calculation puts the uncorrected formation energy at -5.817 eV per formula unit.


# 16
Tl5SbO5: optimized geometry, PBE.

a b c (Å): 8.2388 8.2388 14.2197
angles (deg): 90.00 90.00 95.48
Positions (direct):
O  0.1823  0.8177  0.2653
O  0.0151  0.2493  0.5078
O  0.7507  0.9849  0.5078
O  0.0022  0.2386  0.9388
O  0.9509  0.0491  0.1091
O  0.2202  0.5188  0.3661
O  0.7012  0.2988  0.0315
O  0.2386  0.0022  0.4388
O  0.5188  0.2202  0.8661
O  0.7614  0.9978  0.9388
O  0.9978  0.7614  0.4388
O  0.4812  0.7798  0.3661
O  0.0627  0.9373  0.8429
O  0.0491  0.9509  0.6091
O  0.9373  0.0627  0.3429
O  0.2493  0.0151  0.0078
O  0.2988  0.7012  0.5315
O  0.8177  0.1823  0.7653
O  0.9849  0.7507  0.0078
O  0.7798  0.4812  0.8661
Tl  0.1164  0.2019  0.7513
Tl  0.2574  0.7426  0.0977
Tl  0.8836  0.7981  0.2513
Tl  0.6941  0.6316  0.0088
Tl  0.0283  0.6465  0.6085
Tl  0.6031  0.0717  0.3639
Tl  0.2019  0.1164  0.2513
Tl  0.3059  0.3684  0.5088
Tl  0.4685  0.5315  0.2621
Tl  0.3684  0.3059  0.0088
Tl  0.9717  0.3535  0.1085
Tl  0.3969  0.9283  0.8639
Tl  0.9283  0.3969  0.3639
Tl  0.6465  0.0283  0.1085
Tl  0.0717  0.6031  0.8639
Tl  0.5315  0.4685  0.7621
Tl  0.7426  0.2574  0.5977
Tl  0.7981  0.8836  0.7513
Tl  0.6316  0.6941  0.5088
Tl  0.3535  0.9717  0.6085
Sb  0.2414  0.7586  0.3975
Sb  0.9907  0.0093  0.4769
Sb  0.7586  0.2414  0.8975
Sb  0.0093  0.9907  0.9769

Summary:
The space group is Cmc2_1, No. 36. The calculation puts the uncorrected formation energy at -10.334 eV per formula unit.